Compound: Y6Ir2Pb
Source: the Alexandria database
Functional: GGA-PBE
Structure: relaxed

Values from the calculation:
Size of the total moment = 0.00 μB/atom
Mass density = 7.72 g/cm3
Uncorrected energy = -7.3082 eV per atom

Structure (CIF):
```
data_Y6Ir2Pb
_chemical_formula_sum 'Y24 Ir8 Pb4'
_space_group_name_H-M_alt 'I m m m'
_space_group_IT_number 71
_space_group_name_Hall '-I 2 2'
_cell_length_a 9.5214
_cell_length_b 9.7744
_cell_length_c 10.4027
_cell_angle_alpha 90.00
_cell_angle_beta 90.00
_cell_angle_gamma 90.00
loop_
_atom_site_label
_atom_site_type_symbol
_atom_site_fract_x
_atom_site_fract_y
_atom_site_fract_z
Y1 Y 0.0000 0.2096 0.2382
Y2 Y 0.1897 0.5000 0.1702
Y3 Y 0.2157 0.3172 0.5000
Ir1 Ir 0.0000 0.3375 0.0000
Ir2 Ir 0.0000 0.5000 0.3722
Pb1 Pb 0.0000 0.0000 0.0000
Pb2 Pb 0.0000 0.0000 0.5000
```